Compound: ErSc2TiRh4
Source: Alexandria via LeMat-Bulk
Functional: PBE
Structure: optimized geometry

formation enthalpy at 0 K = -0.91 eV/atom
M_tot = 0.00 μB per formula unit

Cell: 4.5732 4.5732 8.0060 Å, 73.40 73.40 60.00°
Closest atoms and distances in Å follow each position.
Element x y z (fractional)
Er1 0.0000 0.0000 0.0000  8 Rh 2.87-2.95
Sc1 0.7526 0.7526 0.7421  7 Rh 2.66-2.83
Rh1 0.8697 0.8697 0.3908  4 Sc 2.66-2.83, 3 Ti 2.77, 1 Er 2.95
Sc2 0.2474 0.2474 0.2579  7 Rh 2.66-2.83
Rh2 0.1303 0.1303 0.6092  4 Sc 2.66-2.83, 3 Ti 2.77, 1 Er 2.95
Rh3 0.6174 0.6174 0.1478  1 Ti 2.66, 3 Sc 2.77, 3 Er 2.87
Ti1 0.5000 0.5000 0.5000  8 Rh 2.66-2.77
Rh4 0.3826 0.3826 0.8522  1 Ti 2.66, 3 Sc 2.77, 3 Er 2.87